1.
Here is crystalline Li3Mn at its relaxed geometry from the Alexandria database. Energies are from PBE.

abc: 5.1546 5.1546 5.1546
angles: 90.00 90.00 90.00
Fractional positions:
Li1 0.0000 0.2500 0.5000
Li2 0.0000 0.7500 0.5000
Li3 0.2500 0.5000 0.0000
Li4 0.5000 0.0000 0.2500
Li5 0.5000 0.0000 0.7500
Li6 0.7500 0.5000 0.0000
Mn1 0.0000 0.0000 0.0000
Mn2 0.5000 0.5000 0.5000

Output
The value obtained for the calculated formation energy is 0.315 eV per atom. As for the spin magnetization: 3.96 μB per formula unit. The symmetry is Pm-3n, No. 223.

2.
Here is crystalline Na2MgInF7 at its relaxed geometry from the Alexandria database. Energies are from PBE.

abc: 10.6197 7.4701 7.6625
angles: 90.00 90.00 90.00
Fractional positions:
Na1 0.0000 0.0000 0.0000
Na2 0.0000 0.5000 0.0000
Na3 0.2306 0.2500 0.2665
Na4 0.2695 0.7500 0.7665
Na5 0.5000 0.0000 0.5000
Na6 0.5000 0.5000 0.5000
Na7 0.7306 0.2500 0.2335
Na8 0.7694 0.7500 0.7335
Mg1 0.0000 0.0000 0.5000
Mg2 0.0000 0.5000 0.5000
Mg3 0.5000 0.0000 0.0000
Mg4 0.5000 0.5000 0.0000
In1 0.2385 0.2500 0.7516
In2 0.2615 0.7500 0.2516
In3 0.7385 0.2500 0.7484
In4 0.7615 0.7500 0.2484
F1 0.0304 0.2500 0.4455
F2 0.1244 0.0218 0.6994
F3 0.1244 0.4782 0.6994
F4 0.1356 0.5457 0.3255
F5 0.1356 0.9543 0.3255
F6 0.1414 0.2500 0.9943
F7 0.1593 0.7500 0.0168
F8 0.3407 0.2500 0.5168
F9 0.3586 0.7500 0.4943
F10 0.3644 0.0457 0.8255
F11 0.3644 0.4543 0.8255
F12 0.3756 0.5218 0.1994
F13 0.3756 0.9782 0.1994
F14 0.4696 0.7500 0.9455
F15 0.5304 0.2500 0.0545
F16 0.6244 0.0218 0.8006
F17 0.6244 0.4782 0.8006
F18 0.6356 0.5457 0.1745
F19 0.6356 0.9543 0.1745
F20 0.6414 0.2500 0.5057
F21 0.6593 0.7500 0.4832
F22 0.8407 0.2500 0.9832
F23 0.8586 0.7500 0.0057
F24 0.8644 0.0457 0.6745
F25 0.8644 0.4543 0.6745
F26 0.8756 0.5218 0.3006
F27 0.8756 0.9782 0.3006
F28 0.9696 0.7500 0.5545

Output
The final energy is -0.349 Ry/atom. As for the spin magnetization: 0.16 μB per formula unit. The symmetry is Pnma, No. 62.

3.
Here is crystalline Li7SiAu3 at its relaxed geometry from the Alexandria database. Energies are from PBE.

abc: 10.4052 10.4052 12.3735
angles: 90.00 90.00 164.37
Fractional positions:
Li1 0.0458 0.9542 0.5899
Li2 0.0458 0.9542 0.9101
Li3 0.0859 0.9141 0.1338
Li4 0.0859 0.9141 0.3662
Li5 0.1369 0.8631 0.7500
Li6 0.2312 0.7688 0.1014
Li7 0.2312 0.7688 0.3986
Li8 0.7688 0.2312 0.6014
Li9 0.7688 0.2312 0.8986
Li10 0.8631 0.1369 0.2500
Li11 0.9141 0.0859 0.6338
Li12 0.9141 0.0859 0.8662
Li13 0.9542 0.0458 0.0899
Li14 0.9542 0.0458 0.4101
Si1 0.4945 0.5055 0.2500
Si2 0.5055 0.4945 0.7500
Au1 0.3277 0.6723 0.7500
Au2 0.3503 0.6497 0.0357
Au3 0.3503 0.6497 0.4643
Au4 0.6497 0.3503 0.5357
Au5 0.6497 0.3503 0.9643
Au6 0.6723 0.3277 0.2500

Output
The final energy is -0.218 Ry/atom. As for the spin magnetization: 0.00 μB per formula unit. The symmetry is Cmcm, No. 63.

The highest spin magnetization belongs to which entry? Li3Mn